(1)
CuNiP2 after structural relaxation. Source: Alexandria, functional PBE-GGA.

Properties
Space group = Immm
DOS(E_F) = 0.9 states/eV per cell
Formation energy from the elements = 0.154 eV per atom
Raw total energy = -5.021 eV per atom

Lattice parameters (Å, degrees): 4.3309 4.3309 4.3309 126.47 126.79 78.86
Last column: nearest neighbours and their distance in Å.
Fractional positions:
Cu (0.7500, 0.2500, 0.5000)  8 P 2.56-2.57, 4 Ni 2.75
Ni (0.2500, 0.7500, 0.5000)  8 P 2.56-2.57, 4 Cu 2.75
P (0.9996, 0.9996, 0.0000)  4 Ni 2.56-2.57, 4 Cu 2.56-2.57, 4 P 2.75
P (0.5004, 0.5004, 0.0000)  4 Ni 2.56-2.57, 4 Cu 2.56-2.57, 4 P 2.75

(2)
CuNiP2 after structural relaxation. Source: Alexandria, functional PBE-GGA.

Properties
Space group = P4/mmm
DOS(E_F) = 2.0 states/eV per cell
Formation energy from the elements = 0.167 eV per atom
Raw total energy = -5.007 eV per atom

Lattice parameters (Å, degrees): 3.3836 3.8657 3.8657 90.00 90.00 90.00
Last column: nearest neighbours and their distance in Å.
Fractional positions:
Cu (0.5000, 0.5000, 0.0000)  8 P 2.57, 4 Ni 2.73
Ni (0.5000, 0.0000, 0.5000)  8 P 2.57, 4 Cu 2.73
P (0.0000, 0.0000, 0.0000)  4 Ni 2.57, 4 Cu 2.57, 4 P 2.73
P (0.0000, 0.5000, 0.5000)  4 Ni 2.57, 4 Cu 2.57, 4 P 2.73

(3)
CuNi3P after structural relaxation. Source: Alexandria, functional PBE-GGA.

Properties
Space group = Pm-3m
DOS(E_F) = 7.6 states/eV per cell
Formation energy from the elements = 1.149 eV per atom
Raw total energy = -4.221 eV per atom

Lattice parameters (Å, degrees): 4.2507 4.2507 4.2507 90.00 90.00 90.00
Last column: nearest neighbours and their distance in Å.
Fractional positions:
Ni (0.0000, 0.5000, 0.0000)  2 Cu 2.13
Ni (0.0000, 0.0000, 0.5000)  2 Cu 2.13
Ni (0.5000, 0.0000, 0.0000)  2 Cu 2.13
Cu (0.0000, 0.0000, 0.0000)  6 Ni 2.13
P (0.5000, 0.5000, 0.5000)  12 Ni 3.01

(4)
Cu2NiP after structural relaxation. Source: Alexandria, functional PBE-GGA.

Properties
Space group = P4mm
DOS(E_F) = 1.8 states/eV per cell
Formation energy from the elements = -0.045 eV per atom
Raw total energy = -4.891 eV per atom

Lattice parameters (Å, degrees): 2.9492 2.9492 5.5128 90.00 90.00 90.00
Last column: nearest neighbours and their distance in Å.
Fractional positions:
Cu (0.0000, 0.0000, 0.0009)  4 Cu 2.51, 1 Ni 2.61, 4 P 2.61
Cu (0.5000, 0.5000, 0.2556)  4 Cu 2.51, 1 P 2.54, 4 Ni 2.57
Ni (0.0000, 0.0000, 0.5280)  4 P 2.33, 4 Cu 2.57
P (0.5000, 0.5000, 0.7155)  4 Ni 2.33, 1 Cu 2.54

(5)
CuNi2P after structural relaxation. Source: Alexandria, functional PBE-GGA.

Properties
Space group = P4/mmm
DOS(E_F) = 3.0 states/eV per cell
Formation energy from the elements = -0.143 eV per atom
Raw total energy = -5.410 eV per atom

Lattice parameters (Å, degrees): 3.6292 3.6292 3.3730 90.00 90.00 90.00
Last column: nearest neighbours and their distance in Å.
Fractional positions:
Cu (0.5000, 0.5000, 0.5000)  8 Ni 2.48, 4 P 2.57
Ni (0.5000, 0.0000, 0.0000)  4 Cu 2.48, 4 P 2.48, 4 Ni 2.57
Ni (0.0000, 0.5000, 0.0000)  4 Cu 2.48, 4 P 2.48, 4 Ni 2.57
P (0.0000, 0.0000, 0.5000)  8 Ni 2.48, 4 Cu 2.57

(6)
CuNi2P after structural relaxation. Source: Alexandria, functional PBE-GGA.

Properties
Space group = P4mm
DOS(E_F) = 1.4 states/eV per cell
Formation energy from the elements = -0.075 eV per atom
Raw total energy = -5.343 eV per atom

Lattice parameters (Å, degrees): 3.0745 3.0745 4.9114 90.00 90.00 90.00
Last column: nearest neighbours and their distance in Å.
Fractional positions:
Cu (0.5000, 0.5000, 0.7629)  6 Ni 2.42-2.49, 4 P 2.61
Ni (0.0000, 0.0000, 0.9993)  1 P 2.30, 4 Cu 2.46, 4 Ni 2.55
Ni (0.5000, 0.5000, 0.2706)  4 P 2.38, 2 Cu 2.42-2.49, 4 Ni 2.55
P (0.0000, 0.0000, 0.4673)  5 Ni 2.30-2.38

(7)
CuNiP2 after structural relaxation. Source: Alexandria, functional PBE-GGA.

Properties
Space group = Pm
DOS(E_F) = 2.0 states/eV per cell
Formation energy from the elements = 0.017 eV per atom
Raw total energy = -5.157 eV per atom

Lattice parameters (Å, degrees): 3.4306 2.5529 7.3030 58.28 90.00 90.00
Last column: nearest neighbours and their distance in Å.
Fractional positions:
Cu (0.0000, 0.5515, 0.5071)  5 P 2.41-2.52, 2 Cu 2.55, 4 Ni 2.62
Ni (0.5000, 0.6868, 0.7510)  5 P 2.36-2.62, 2 Ni 2.55, 4 Cu 2.62
P (0.0000, 0.9425, 0.9132)  4 Ni 2.36, 1 Cu 2.52, 2 P 2.55
P (0.5000, 0.3192, 0.3287)  4 Cu 2.41, 2 P 2.55, 1 Ni 2.62

(8)
CuNi3P2 after structural relaxation. Source: Alexandria, functional PBE-GGA.

Properties
Space group = C2/m
DOS(E_F) = 7.6 states/eV per cell
Formation energy from the elements = -0.305 eV per atom
Raw total energy = -5.682 eV per atom

Lattice parameters (Å, degrees): 3.5082 7.8073 8.5378 104.74 90.00 102.98
Last column: nearest neighbours and their distance in Å.
Fractional positions:
Cu (0.1340, 0.2680, 0.6696)  4 P 2.51-2.59, 3 Ni 2.63-2.79
Cu (0.8660, 0.7320, 0.3304)  4 P 2.51-2.59, 3 Ni 2.63-2.79
Cu (0.0000, 0.0000, 0.0000)  6 Ni 2.62-2.64, 6 P 2.71-2.81
Ni (0.0367, 0.0733, 0.3172)  4 P 2.22-2.45
Ni (0.9633, 0.9267, 0.6828)  4 P 2.22-2.45
Ni (0.2172, 0.4343, 0.3923)  4 P 2.20-2.29
Ni (0.7828, 0.5657, 0.6077)  4 P 2.20-2.29
Ni (0.6102, 0.2203, 0.1846)  4 P 2.26-2.43, 3 Ni 2.50-2.52
Ni (0.3898, 0.7797, 0.8154)  4 P 2.26-2.43, 3 Ni 2.50-2.52
Ni (0.5000, 0.0000, 0.5000)  4 P 2.21-2.42
Ni (0.3162, 0.6324, 0.0484)  4 P 2.18-2.29
Ni (0.6838, 0.3676, 0.9516)  4 P 2.18-2.29
P (0.1900, 0.3800, 0.1258)  6 Ni 2.19-2.29
P (0.8100, 0.6200, 0.8742)  6 Ni 2.19-2.29
P (0.4543, 0.9087, 0.2070)  5 Ni 2.18-2.43
P (0.5457, 0.0913, 0.7930)  5 Ni 2.18-2.43
P (0.3616, 0.7232, 0.5386)  7 Ni 2.21-2.45
P (0.6384, 0.2768, 0.4614)  7 Ni 2.21-2.45

(9)
CuNiP2 after structural relaxation. Source: Alexandria, functional PBE-GGA.

Properties
Space group = P2/m
DOS(E_F) = 2.6 states/eV per cell
Formation energy from the elements = -0.036 eV per atom
Raw total energy = -5.210 eV per atom

Lattice parameters (Å, degrees): 2.6609 4.6472 4.8250 73.49 90.00 90.00
Last column: nearest neighbours and their distance in Å.
Fractional positions:
Cu (0.5000, 0.2500, 0.2500)  4 P 2.42, 2 Cu 2.66
Ni (0.5000, 0.7500, 0.7500)  4 P 2.26
P (0.0000, 0.0439, 0.9342)  1 P 2.21, 2 Ni 2.26, 2 Cu 2.42
P (0.0000, 0.4561, 0.5658)  1 P 2.21, 2 Ni 2.26, 2 Cu 2.42

(10)
CuNiP2 after structural relaxation. Source: Alexandria, functional PBE-GGA.

Properties
Space group = C2/m
DOS(E_F) = 1.5 states/eV per cell
Formation energy from the elements = 0.158 eV per atom
Raw total energy = -5.017 eV per atom

Lattice parameters (Å, degrees): 5.9236 4.1805 2.9956 89.74 60.04 121.98
Last column: nearest neighbours and their distance in Å.
Fractional positions:
Cu (0.0000, 0.5000, 0.5000)  8 P 2.57-2.58, 2 Ni 2.57
Ni (0.5000, 0.5000, 0.0000)  8 P 2.57-2.58, 2 Cu 2.57
P (0.0000, 0.0000, 0.0000)  4 Ni 2.57-2.58, 4 Cu 2.57-2.58, 2 P 2.57
P (0.5000, 0.0000, 0.5000)  4 Cu 2.57-2.58, 4 Ni 2.57-2.58, 2 P 2.57

(11)
CuNiP after structural relaxation. Source: Alexandria, functional PBE-GGA.

Properties
Space group = F-43m
DOS(E_F) = 1.9 states/eV per cell
Formation energy from the elements = -0.245 eV per atom
Raw total energy = -5.341 eV per atom

Lattice parameters (Å, degrees): 3.7918 3.7918 3.7918 60.00 60.00 60.00
Last column: nearest neighbours and their distance in Å.
Fractional positions:
Ni (0.5000, 0.5000, 0.5000)  4 P 2.32
Cu (0.0000, 0.0000, 0.0000)  4 P 2.32
P (0.7500, 0.7500, 0.7500)  4 Ni 2.32, 4 Cu 2.32

(12)
Cu2Ni21P6 after structural relaxation. Source: Alexandria, functional PBE-GGA.

Properties
Space group = Fm-3m
DOS(E_F) = 24.2 states/eV per cell
Formation energy from the elements = -0.325 eV per atom
Raw total energy = -5.913 eV per atom

Lattice parameters (Å, degrees): 7.7776 7.7776 7.7776 60.00 60.00 60.00
Last column: nearest neighbours and their distance in Å.
Fractional positions:
Cu (0.7500, 0.7500, 0.7500)  4 Ni 2.49
Cu (0.2500, 0.2500, 0.2500)  4 Ni 2.49
Ni (0.0000, 0.0000, 0.0000)  12 Ni 2.69, 6 P 2.93
Ni (0.6192, 0.6192, 0.1425)  3 P 2.24, 1 Cu 2.49
Ni (0.6192, 0.6192, 0.6192)  3 P 2.24, 1 Cu 2.49
Ni (0.6192, 0.1425, 0.6192)  3 P 2.24, 1 Cu 2.49
Ni (0.1425, 0.6192, 0.6192)  3 P 2.24, 1 Cu 2.49
Ni (0.3808, 0.3808, 0.8575)  3 P 2.24, 1 Cu 2.49
Ni (0.3808, 0.3808, 0.3808)  3 P 2.24, 1 Cu 2.49
Ni (0.3808, 0.8575, 0.3808)  3 P 2.24, 1 Cu 2.49
Ni (0.8575, 0.3808, 0.3808)  3 P 2.24, 1 Cu 2.49
Ni (0.6537, 0.0000, 0.3463)  2 P 2.16, 1 Ni 2.39
Ni (0.0000, 0.6537, 0.3463)  2 P 2.16, 1 Ni 2.39
Ni (0.0000, 0.0000, 0.3463)  2 P 2.16, 1 Ni 2.39
Ni (0.0000, 0.6537, 0.0000)  2 P 2.16, 1 Ni 2.39
Ni (0.6537, 0.0000, 0.0000)  2 P 2.16, 1 Ni 2.39
Ni (0.0000, 0.0000, 0.6537)  2 P 2.16, 1 Ni 2.39
Ni (0.0000, 0.3463, 0.0000)  2 P 2.16, 1 Ni 2.39
Ni (0.0000, 0.3463, 0.6537)  2 P 2.16, 1 Ni 2.39
Ni (0.6537, 0.3463, 0.0000)  2 P 2.16, 1 Ni 2.39
Ni (0.3463, 0.0000, 0.6537)  2 P 2.16, 1 Ni 2.39
Ni (0.3463, 0.0000, 0.0000)  2 P 2.16, 1 Ni 2.39
Ni (0.3463, 0.6537, 0.0000)  2 P 2.16, 1 Ni 2.39
P (0.2664, 0.7336, 0.2664)  8 Ni 2.16-2.24
P (0.7336, 0.2664, 0.2664)  8 Ni 2.16-2.24
P (0.7336, 0.7336, 0.2664)  8 Ni 2.16-2.24
P (0.7336, 0.2664, 0.7336)  8 Ni 2.16-2.24
P (0.2664, 0.7336, 0.7336)  8 Ni 2.16-2.24
P (0.2664, 0.2664, 0.7336)  8 Ni 2.16-2.24